1.
Computed, not measured: a relaxed CsNa2PuBr6 crystal at the PBE level of DFT.

Properties
Spin magnetization = 5.000 Bohr magnetons per cell
Space-group type = R3 (146)
Fermi-level density of states = 1.033 states/eV per atom
Volume = 37.09 A^3/atom
E_form (uncorrected) = -1.59 eV/atom

Cell lengths 8.436, 8.436, 8.436 Å; angles 54.58, 54.58, 54.58 degrees
Element x y z (fractional)
Cs  0.000  0.000  0.000
Na  0.274  0.274  0.274
Na  0.793  0.793  0.793
Pu  0.467  0.467  0.467
Br  0.061  0.595  0.476
Br  0.214  0.537  0.859
Br  0.476  0.061  0.595
Br  0.537  0.859  0.214
Br  0.595  0.476  0.061
Br  0.859  0.214  0.537

=====

2.
Computed, not measured: a relaxed CsNaPuBr4 crystal at the PBE level of DFT.

Properties
Spin magnetization = 11.996 Bohr magnetons per cell
Space-group type = P2_1/m (11)
Fermi-level density of states = 2.559 states/eV per atom
Volume = 40.12 A^3/atom
E_form (uncorrected) = -1.51 eV/atom

Cell lengths 8.112, 7.707, 9.200 Å; angles 90.00, 102.44, 90.00 degrees
Element x y z (fractional)
Cs  0.158  0.250  0.084
Cs  0.842  0.750  0.916
Na  0.396  0.250  0.670
Na  0.604  0.750  0.330
Pu  0.142  0.750  0.461
Pu  0.858  0.250  0.539
Br  0.124  0.005  0.707
Br  0.124  0.495  0.707
Br  0.262  0.750  0.170
Br  0.492  0.250  0.396
Br  0.508  0.750  0.604
Br  0.738  0.250  0.830
Br  0.876  0.505  0.293
Br  0.876  0.995  0.293

=====

3.
Computed, not measured: a relaxed CsNa2PuBr8 crystal at the PBE level of DFT.

Properties
Spin magnetization = 4.220 Bohr magnetons per cell
Space-group type = P-1 (2)
Fermi-level density of states = 0.738 states/eV per atom
Volume = 37.93 A^3/atom
E_form (uncorrected) = -1.32 eV/atom

Cell lengths 6.280, 7.172, 10.109 Å; angles 90.06, 90.26, 91.71 degrees
Element x y z (fractional)
Cs  0.000  0.000  0.000
Na  0.499  0.500  0.732
Na  0.501  0.500  0.268
Pu  0.000  0.000  0.500
Br  0.243  0.846  0.304
Br  0.246  0.849  0.697
Br  0.249  0.325  0.499
Br  0.252  0.490  0.000
Br  0.748  0.510  0.000
Br  0.751  0.675  0.501
Br  0.754  0.151  0.303
Br  0.757  0.154  0.696

=====

4.
Computed, not measured: a relaxed Cs2NaPuBr5 crystal at the PBE level of DFT.

Properties
Spin magnetization = 12.001 Bohr magnetons per cell
Space-group type = Cmc2_1 (36)
Fermi-level density of states = 1.948 states/eV per atom
Volume = 40.84 A^3/atom
E_form (uncorrected) = -1.59 eV/atom

Cell lengths 10.473, 10.473, 15.486 Å; angles 90.00, 90.00, 154.35 degrees
Element x y z (fractional)
Cs  0.098  0.902  0.500
Cs  0.134  0.866  0.132
Cs  0.866  0.134  0.632
Cs  0.902  0.098  0.000
Na  0.452  0.548  0.279
Na  0.548  0.452  0.779
Pu  0.213  0.787  0.847
Pu  0.787  0.213  0.347
Br  0.067  0.933  0.882
Br  0.277  0.723  0.475
Br  0.309  0.691  0.222
Br  0.358  0.642  0.823
Br  0.498  0.502  0.613
Br  0.502  0.498  0.113
Br  0.642  0.358  0.323
Br  0.691  0.309  0.722
Br  0.723  0.277  0.975
Br  0.933  0.067  0.382

=====

5.
Computed, not measured: a relaxed CsNa2Pu2Br7 crystal at the PBE level of DFT.

Properties
Spin magnetization = 0.001 Bohr magnetons per cell
Space-group type = I4/mmm (139)
Fermi-level density of states = 2.974 states/eV per atom
Volume = 35.91 A^3/atom
E_form (uncorrected) = -1.50 eV/atom

Cell lengths 12.832, 12.832, 12.832 Å; angles 153.13, 153.13, 38.36 degrees
Element x y z (fractional)
Cs  0.000  0.000  0.000
Na  0.250  0.750  0.500
Na  0.750  0.250  0.500
Pu  0.378  0.378  0.000
Pu  0.622  0.622  0.000
Br  0.121  0.621  0.500
Br  0.254  0.254  0.000
Br  0.379  0.879  0.500
Br  0.500  0.500  0.000
Br  0.621  0.121  0.500
Br  0.746  0.746  0.000
Br  0.879  0.379  0.500

=====

6.
Computed, not measured: a relaxed CsNaPu2Br8 crystal at the PBE level of DFT.

Properties
Spin magnetization = 10.000 Bohr magnetons per cell
Space-group type = P-1 (2)
Fermi-level density of states = 1.915 states/eV per atom
Volume = 40.59 A^3/atom
E_form (uncorrected) = -1.54 eV/atom

Cell lengths 7.299, 7.411, 9.049 Å; angles 89.95, 89.93, 84.40 degrees
Element x y z (fractional)
Cs  0.000  0.000  0.000
Na  0.000  0.000  0.500
Pu  0.500  0.500  0.258
Pu  0.500  0.500  0.742
Br  0.278  0.832  0.716
Br  0.279  0.833  0.284
Br  0.280  0.373  0.500
Br  0.285  0.392  0.000
Br  0.715  0.608  0.000
Br  0.720  0.627  0.500
Br  0.721  0.167  0.716
Br  0.722  0.168  0.284

=====

7.
Computed, not measured: a relaxed Cs2Rb3NaBr6 crystal at the PBE level of DFT.

Properties
Spin magnetization = 0.000 Bohr magnetons per cell
Space-group type = C2/m (12)
Fermi-level density of states = 0.000 states/eV per atom
Volume = 42.99 A^3/atom
E_form (uncorrected) = -1.70 eV/atom

Cell lengths 8.608, 8.608, 8.549 Å; angles 99.72, 99.72, 120.07 degrees
Element x y z (fractional)
Cs  0.167  0.833  0.000
Cs  0.833  0.167  0.000
Rb  0.000  0.000  0.500
Rb  0.331  0.669  0.500
Rb  0.669  0.331  0.500
Na  0.500  0.500  0.000
Br  0.110  0.416  0.751
Br  0.286  0.286  0.237
Br  0.416  0.110  0.751
Br  0.584  0.890  0.249
Br  0.714  0.714  0.763
Br  0.890  0.584  0.249

=====

8.
Computed, not measured: a relaxed CsRbNa2Br crystal at the PBE level of DFT.

Properties
Spin magnetization = 0.000 Bohr magnetons per cell
Space-group type = P4/mmm (123)
Fermi-level density of states = 0.657 states/eV per atom
Volume = 57.54 A^3/atom
Distance to the lowest polymorph of the same formula = 0.08 eV per formula unit
E_form (uncorrected) = -0.46 eV/atom

Cell lengths 6.499, 6.499, 6.812 Å; angles 90.00, 90.00, 90.00 degrees
Element x y z (fractional)
Cs  0.000  0.000  0.000
Rb  0.500  0.500  0.000
Na  0.000  0.500  0.500
Na  0.500  0.000  0.500
Br  0.500  0.500  0.500

=====

9.
Computed, not measured: a relaxed Cs3Rb4NaBr8 crystal at the PBE level of DFT.

Properties
Spin magnetization = 0.000 Bohr magnetons per cell
Space-group type = C2/m (12)
Fermi-level density of states = 0.000 states/eV per atom
Volume = 44.09 A^3/atom
E_form (uncorrected) = -1.71 eV/atom

Cell lengths 10.000, 10.000, 9.965 Å; angles 119.87, 119.87, 59.89 degrees
Element x y z (fractional)
Cs  0.000  0.000  0.000
Cs  0.000  0.500  0.000
Cs  0.500  0.000  0.000
Rb  0.000  0.000  0.500
Rb  0.000  0.500  0.500
Rb  0.500  0.000  0.500
Rb  0.500  0.500  0.500
Na  0.500  0.500  0.000
Br  0.252  0.252  0.743
Br  0.255  0.255  0.266
Br  0.267  0.724  0.758
Br  0.276  0.733  0.242
Br  0.724  0.267  0.758
Br  0.733  0.276  0.242
Br  0.745  0.745  0.734
Br  0.748  0.748  0.257

=====

10.
Computed, not measured: a relaxed CsRb2NaBr crystal at the PBE level of DFT.

Properties
Spin magnetization = 0.277 Bohr magnetons per cell
Space-group type = P4/mmm (123)
Fermi-level density of states = 0.650 states/eV per atom
Volume = 66.21 A^3/atom
Distance to the lowest polymorph of the same formula = 0.53 eV per formula unit
E_form (uncorrected) = -0.54 eV/atom

Cell lengths 6.980, 6.980, 6.795 Å; angles 90.00, 90.00, 90.00 degrees
Element x y z (fractional)
Cs  0.000  0.000  0.000
Rb  0.000  0.500  0.500
Rb  0.500  0.000  0.500
Na  0.500  0.500  0.000
Br  0.500  0.500  0.500

=====

11.
Computed, not measured: a relaxed CsRb2NaBr6 crystal at the PBE level of DFT.

Properties
Spin magnetization = 2.000 Bohr magnetons per cell
Space-group type = Fm-3m (225)
Fermi-level density of states = 2.601 states/eV per atom
Volume = 48.02 A^3/atom
E_form (uncorrected) = -1.07 eV/atom

Cell lengths 8.790, 8.790, 8.790 Å; angles 60.00, 60.00, 60.00 degrees
Element x y z (fractional)
Cs  0.000  0.000  0.000
Rb  0.250  0.250  0.250
Rb  0.750  0.750  0.750
Na  0.500  0.500  0.500
Br  0.272  0.272  0.728
Br  0.272  0.728  0.272
Br  0.272  0.728  0.728
Br  0.728  0.272  0.272
Br  0.728  0.272  0.728
Br  0.728  0.728  0.272

=====

12.
Computed, not measured: a relaxed Cs3Rb2NaBr6 crystal at the PBE level of DFT.

Properties
Spin magnetization = 0.001 Bohr magnetons per cell
Space-group type = C2/m (12)
Fermi-level density of states = 0.000 states/eV per atom
Volume = 43.66 A^3/atom
E_form (uncorrected) = -1.71 eV/atom

Cell lengths 8.625, 8.625, 8.631 Å; angles 99.64, 99.64, 119.99 degrees
Element x y z (fractional)
Cs  0.000  0.000  0.000
Cs  0.330  0.670  0.000
Cs  0.670  0.330  0.000
Rb  0.166  0.834  0.500
Rb  0.834  0.166  0.500
Na  0.500  0.500  0.500
Br  0.114  0.426  0.277
Br  0.265  0.265  0.725
Br  0.426  0.114  0.277
Br  0.574  0.886  0.723
Br  0.735  0.735  0.275
Br  0.886  0.574  0.723